No. 1
Entry from Alexandria via LeMat-Bulk: crystalline Pm3Tm4Zn at its relaxed geometry (GGA-PBE).

Values from the calculation:
Formation enthalpy at 0 K: -0.6 eV/f.u.

Cell: 3.549 3.549 18.799 Å, 90.00 90.00 90.00°
Positions (direct):
1 Pm 0.000 0.000 0.000
2 Pm 0.000 0.000 0.270
3 Pm 0.000 0.000 0.730
4 Tm 0.500 0.500 0.135
5 Tm 0.500 0.500 0.407
6 Tm 0.500 0.500 0.593
7 Tm 0.500 0.500 0.865
8 Zn 0.000 0.000 0.500

***

No. 2
Entry from Alexandria via LeMat-Bulk: crystalline PmTmZn at its relaxed geometry (GGA-PBE).

Values from the calculation:
Polymorph energy (0 for the lowest one): 0.00 eV per formula unit
Formation enthalpy at 0 K: -0.6 eV/f.u.

Cell: 6.632 6.632 6.632 Å, 148.56 148.56 45.06°
Positions (direct):
1 Pm 0.000 0.000 0.000
2 Tm 0.288 0.288 0.000
3 Zn 0.657 0.657 0.000